No. 1
DFT (PBE) results for a relaxed BeBOs crystal.

Lattice parameters (Å, degrees): 3.5427 3.5427 6.1582 73.28 73.28 60.00
Element x y z (fractional)
B (0.4113, 0.4113, 0.7660)
B (0.5887, 0.5887, 0.2340)
Os (0.2756, 0.2756, 0.1732)
Os (0.7244, 0.7244, 0.8268)
Be (0.1366, 0.1366, 0.5903)
Be (0.8634, 0.8634, 0.4097)

Computed properties:
DOS at the Fermi energy = 0.308 states/eV per atom
Magnetic moment = 0.00 μB per formula unit
Crystal system = trigonal
SG = R-3m (166)
Energy above the most stable polymorph in this dataset = 0.131 eV/atom
Raw total energy = -7.3407 eV per atom

=====

No. 2
DFT (PBE) results for a relaxed BeBOs crystal.

Lattice parameters (Å, degrees): 3.9786 4.0031 7.3947 90.00 102.47 90.00
Element x y z (fractional)
Be (0.0000, 0.5953, 0.0000)
Be (0.0000, 0.0953, 0.5000)
Be (0.5000, 0.9241, 0.5000)
Be (0.5000, 0.4241, 0.0000)
B (0.3114, 0.4456, 0.4103)
B (0.6886, 0.4456, 0.5897)
B (0.3114, 0.9456, 0.9103)
B (0.6886, 0.9456, 0.0897)
Os (0.7778, 0.5861, 0.3067)
Os (0.2222, 0.5861, 0.6933)
Os (0.7778, 0.0861, 0.8067)
Os (0.2222, 0.0861, 0.1933)

Computed properties:
DOS at the Fermi energy = 0.177 states/eV per atom
Magnetic moment = 0.00 μB per formula unit
Crystal system = monoclinic
SG = C2 (5)
Energy above the most stable polymorph in this dataset = 0.159 eV/atom
Raw total energy = -7.3122 eV per atom

=====

No. 3
DFT (PBE) results for a relaxed BeBOs crystal.

Lattice parameters (Å, degrees): 5.4868 2.9104 7.7577 90.00 114.55 90.00
Element x y z (fractional)
Be (0.6796, 0.0000, 0.8602)
Be (0.6796, 0.5000, 0.3602)
Be (0.5319, 0.0000, 0.1247)
Be (0.5319, 0.5000, 0.6247)
B (0.1398, 0.0000, 0.0270)
B (0.1398, 0.5000, 0.5270)
B (0.9495, 0.0000, 0.3681)
B (0.9495, 0.5000, 0.8681)
Os (0.3324, 0.0000, 0.3518)
Os (0.3324, 0.5000, 0.8518)
Os (0.8816, 0.0000, 0.6291)
Os (0.8816, 0.5000, 0.1291)

Computed properties:
DOS at the Fermi energy = 0.266 states/eV per atom
Magnetic moment = 0.00 μB per formula unit
Crystal system = monoclinic
SG = Cm (8)
Energy above the most stable polymorph in this dataset = 0.188 eV/atom
Raw total energy = -7.2839 eV per atom

=====

No. 4
DFT (PBE) results for a relaxed PmBe2BOs2 crystal.

Lattice parameters (Å, degrees): 4.1258 4.1258 5.2427 90.00 90.00 90.00
Element x y z (fractional)
Pm (0.0000, 0.0000, 0.5000)
Be (0.5000, 0.5000, 0.7721)
Be (0.5000, 0.5000, 0.2279)
B (0.0000, 0.0000, 0.0000)
Os (0.5000, 0.0000, 0.0000)
Os (0.0000, 0.5000, 0.0000)

Computed properties:
DOS at the Fermi energy = 0.456 states/eV per atom
Magnetic moment = 0.00 μB per formula unit
Crystal system = tetragonal
SG = P4/mmm (123)
Raw total energy = -7.1943 eV per atom